Y3TmAl2 | PBE | optimized geometry

```
12
Lattice="5.095 0.000 0.000 0.000 9.448 0.000 0.000 0.000 6.547" Properties=species:S:1:pos:R:3 pbc="T T T"
Y 0.000 0.377 0.000
Y 0.000 3.078 2.215
Y 0.000 6.370 5.488
Y 0.000 9.071 3.273
Y 2.548 1.692 4.677
Y 2.548 7.756 1.403
Tm 2.548 4.337 0.346
Tm 2.548 5.110 3.620
Al 0.000 3.334 5.372
Al 0.000 6.114 2.099
Al 2.548 1.392 1.533
Al 2.548 8.056 4.806
```

Space group: Pmc2_1
Energy, eV/atom: -5.537

=====

KTaHg | PBE | optimized geometry

```
6
Lattice="5.230 0.000 0.000 -2.615 4.529 0.000 0.000 0.000 7.759" Properties=species:S:1:pos:R:3 pbc="T T T"
K 0.000 0.000 0.000
K 0.000 0.000 3.879
Ta 0.000 3.020 1.210
Ta 0.000 3.020 6.548
Hg 2.615 1.510 1.531
Hg 2.615 1.510 6.228
```

Excess energy over the best structure of this formula in the dataset, kJ/mol of atoms: 65.2
Space group: P-6m2

=====

NaEr2PaSe4 | PBE | optimized geometry

```
8
Lattice="7.043 0.000 0.000 0.000 4.011 0.000 -2.284 0.000 6.793" Properties=species:S:1:pos:R:3 pbc="T T T"
Na 0.000 0.000 0.000
Er 2.380 0.000 3.396
Er 3.522 2.006 0.000
Pa -1.142 2.006 3.396
Se 0.072 0.000 5.130
Se 1.231 2.006 1.718
Se 3.528 2.006 5.075
Se 4.687 0.000 1.663
```

Formation energy (no corrections), eV per atom: -1.523
Space group: P2/m

=====

MgAl3Pd | PBE | optimized geometry

```
5
Lattice="4.791 0.000 0.000 0.000 4.791 0.000 0.000 0.000 4.791" Properties=species:S:1:pos:R:3 pbc="T T T"
Mg 0.000 0.000 0.000
Al 0.000 2.396 2.396
Al 2.396 0.000 2.396
Al 2.396 2.396 0.000
Pd 2.396 2.396 2.396
```

Excess energy over the best structure of this formula in the dataset, kJ/mol of atoms: 38.0
Space group: Pm-3m

=====

Mo3OsPb | PBE | optimized geometry

```
5
Lattice="4.809 0.000 0.000 0.000 4.809 0.000 0.000 0.000 4.809" Properties=species:S:1:pos:R:3 pbc="T T T"
Mo 0.000 0.000 2.405
Mo 0.000 2.405 0.000
Mo 2.405 0.000 0.000
Os 0.000 0.000 0.000
Pb 2.405 2.405 2.405
```

Excess energy over the best structure of this formula in the dataset, kJ/mol of atoms: 0.0
Space group: Pm-3m

=====

K11Rb17Mg | PBE | optimized geometry

```
29
Lattice="8.369 -11.929 0.000 8.369 11.929 0.000 -8.308 0.000 11.734" Properties=species:S:1:pos:R:3 pbc="T T T"
K 0.000 0.000 0.000
K 5.364 9.744 2.693
K 2.268 4.400 7.833
K -0.868 2.174 10.083
K -0.868 -2.174 10.083
K 10.605 4.403 0.568
K 5.518 2.102 5.913
K 2.268 -4.400 7.833
K 5.518 -2.102 5.913
K 10.605 -4.403 0.568
K 5.364 -9.744 2.693
Rb -1.551 7.779 10.021
Rb -4.170 0.000 6.924
Rb 1.450 3.775 3.119
Rb 2.969 8.672 10.045
Rb 6.081 4.841 2.057
Rb 0.660 0.000 5.880
Rb 6.067 7.103 6.375
Rb 4.438 0.000 1.675
Rb 1.450 -3.775 3.119
Rb 6.081 -4.841 2.057
Rb 3.847 0.000 10.026
Rb 9.123 0.000 2.612
Rb -1.551 -7.779 10.021
Rb 9.721 3.597 5.476
Rb 6.067 -7.103 6.375
Rb 9.721 -3.597 5.476
Rb 2.969 -8.672 10.045
Mg 8.447 0.000 7.795
```

Space group: Cm
Energy, eV/atom: -1.007

=====

- Number 1 is which compound?
  Y3TmAl2

=====

- What is the formula in the fifth record?
  Mo3OsPb